# 1
This record from Alexandria describes a relaxed LiTbSb2 crystal. The functional is GGA-PBE.

Summary:
- E_form (uncorrected): -0.578 eV/atom
- Offset from the most stable computed form: 0.222 eV/atom
- Spin magnetization: 0.0 μB/cell
- Symmetry: R-3m, No. 166

Cell lengths 4.8526, 4.8526, 5.7527 Å; angles 65.05, 65.05, 60.00 degrees
Closest atoms and distances in Å follow each position.
Positions (direct):
Sb 0.2597 0.2597 0.2209  3 Li 3.01, 3 Tb 3.13
Sb 0.7403 0.7403 0.7791  3 Li 3.01, 3 Tb 3.13
Tb 0.5000 0.5000 0.5000  6 Sb 3.13
Li 0.0000 0.0000 0.0000  6 Sb 3.01


# 2
This record from Alexandria describes a relaxed YbBiPd2 crystal. The functional is GGA-PBE.

Summary:
- Formation energy from the elements: -0.64 eV/atom
- Spin magnetization: 0.3 μB/cell
- Symmetry: Fm-3m, No. 225

Cell lengths 4.9051, 4.9051, 4.9051 Å; angles 60.00, 60.00, 60.00 degrees
Closest atoms and distances in Å follow each position.
Positions (direct):
Yb 0.0000 0.0000 0.0000  8 Pd 3.00
Bi 0.5000 0.5000 0.5000  8 Pd 3.00
Pd 0.2500 0.2500 0.2500  4 Bi 3.00, 4 Yb 3.00
Pd 0.7500 0.7500 0.7500  4 Bi 3.00, 4 Yb 3.00


# 3
This record from Alexandria describes a relaxed MnAlPt2 crystal. The functional is GGA-PBE.

Summary:
- Formation energy from the elements: -0.68 eV/atom
- Spin magnetization: 4.1 μB/cell
- Symmetry: Pmm2, No. 25

Cell lengths 4.5204, 2.8574, 4.5945 Å; angles 90.00, 90.00, 90.00 degrees
Closest atoms and distances in Å follow each position.
Positions (direct):
Mn 0.5000 0.6250 0.8379  8 Pt 2.70-2.71, 2 Mn 2.86, 2 Al 2.99
Al 0.0000 0.6249 0.4120  8 Pt 2.70-2.71, 2 Al 2.86, 2 Mn 2.99
Pt 0.0000 0.1250 0.9131  4 Mn 2.70, 4 Al 2.70-2.71, 4 Pt 2.86-2.98
Pt 0.5000 0.1251 0.3370  4 Al 2.70, 4 Mn 2.70-2.71, 4 Pt 2.86-2.98


# 4
This record from Alexandria describes a relaxed CoHI2 crystal. The functional is GGA-PBE.

Summary:
- Offset from the most stable computed form: 0.000 eV/atom
- Spin magnetization: 4.0 μB/cell
- Symmetry: I-42d, No. 122

Cell lengths 5.7622, 5.7622, 7.0117 Å; angles 65.74, 65.74, 90.00 degrees
Closest atoms and distances in Å follow each position.
Positions (direct):
I 0.6079 0.1250 0.2500  2 H 2.43, 2 Co 2.55
I 0.1421 0.6250 0.2500  2 H 2.43, 2 Co 2.55
I 0.3750 0.3921 0.7500  2 H 2.43, 2 Co 2.55
I 0.8750 0.8579 0.7500  2 H 2.43, 2 Co 2.55
H 0.5000 0.5000 0.0000  4 I 2.43
H 0.2500 0.7500 0.5000  4 I 2.43
Co 0.0000 0.0000 0.0000  4 I 2.55
Co 0.7500 0.2500 0.5000  4 I 2.55


# 5
This record from Alexandria describes a relaxed Sc2SiP crystal. The functional is GGA-PBE.

Summary:
- E_form (uncorrected): -0.974 eV/atom
- Offset from the most stable computed form: 0.177 eV/atom
- Spin magnetization: 0.0 μB/cell
- Symmetry: R-3m, No. 166

Cell lengths 3.6453, 3.6453, 7.0624 Å; angles 75.03, 75.03, 60.01 degrees
Closest atoms and distances in Å follow each position.
Positions (direct):
P 0.2500 0.2500 0.2500  6 Sc 2.61
Sc 0.9932 0.9932 0.0208  3 P 2.61, 3 Si 2.79
Sc 0.5068 0.5068 0.4792  3 P 2.61, 3 Si 2.79
Si 0.7500 0.7500 0.7500  6 Sc 2.79


# 6
This record from Alexandria describes a relaxed KCrAs2 crystal. The functional is GGA-PBE.

Summary:
- Formation energy from the elements: -0.18 eV/atom
- Offset from the most stable computed form: 0.000 eV/atom
- Spin magnetization: 3.0 μB/cell
- Symmetry: C2/m, No. 12

Cell lengths 4.2769, 4.2769, 6.9804 Å; angles 77.98, 77.98, 50.30 degrees
Closest atoms and distances in Å follow each position.
Positions (direct):
As 0.9757 0.9757 0.1031  3 Cr 2.56-2.57, 2 As 2.83
As 0.5243 0.5243 0.3969  3 Cr 2.56-2.57, 2 As 2.83
Cr 0.2500 0.2500 0.2500  6 As 2.56-2.57
K 0.7500 0.7500 0.7500  6 As 3.33-3.39, 2 K 3.64


# 7
This record from Alexandria describes a relaxed CuReNi crystal. The functional is GGA-PBE.

Summary:
- Formation energy from the elements: 0.94 eV/atom
- Offset from the most stable computed form: 0.895 eV/atom
- Spin magnetization: 0.0 μB/cell
- Symmetry: F-43m, No. 216

Cell lengths 4.0146, 4.0146, 4.0146 Å; angles 60.00, 60.00, 60.00 degrees
Closest atoms and distances in Å follow each position.
Positions (direct):
Cu 0.0000 0.0000 0.0000  4 Re 2.46
Ni 0.5000 0.5000 0.5000  4 Re 2.46
Re 0.7500 0.7500 0.7500  4 Cu 2.46, 4 Ni 2.46


# 8
This record from Alexandria describes a relaxed LiCaTaN3 crystal. The functional is GGA-PBE.

Summary:
- E_form (uncorrected): -0.736 eV/atom
- Spin magnetization: 0.0 μB/cell
- Symmetry: P2_1/m, No. 11

Cell lengths 3.2019, 6.8689, 6.9203 Å; angles 104.34, 90.00, 90.00 degrees
Closest atoms and distances in Å follow each position.
Positions (direct):
Li 0.2500 0.0753 0.5902  4 N 1.88-1.98
Li 0.7500 0.9247 0.4098  4 N 1.88-1.98
Ca 0.2500 0.2096 0.2374  5 N 2.46-2.61
Ca 0.7500 0.7904 0.7626  5 N 2.46-2.61
Ta 0.2500 0.6756 0.1729  5 N 1.96-2.19
Ta 0.7500 0.3244 0.8271  5 N 1.96-2.19
N 0.7500 0.8560 0.1290  1 Li 1.88, 2 Ta 2.09
N 0.2500 0.1440 0.8710  1 Li 1.88, 2 Ta 2.09
N 0.2500 0.7838 0.4632  3 Li 1.95-1.98, 1 Ta 1.96
N 0.7500 0.2162 0.5368  3 Li 1.95-1.98, 1 Ta 1.96
N 0.7500 0.4548 0.1610  3 Ta 2.19-2.26
N 0.2500 0.5452 0.8390  3 Ta 2.19-2.26


# 9
This record from Alexandria describes a relaxed CaTl2Au crystal. The functional is GGA-PBE.

Summary:
- Formation energy from the elements: -0.26 eV/atom
- Spin magnetization: 0.0 μB/cell
- Symmetry: R-3m, No. 166

Cell lengths 5.9883, 5.9883, 5.9883 Å; angles 47.50, 47.50, 47.50 degrees
Closest atoms and distances in Å follow each position.
Positions (direct):
Tl 0.9801 0.9801 0.9801  3 Au 2.96, 3 Ca 3.23
Tl 0.5199 0.5199 0.5199  3 Au 2.96, 3 Ca 3.23
Au 0.2500 0.2500 0.2500  6 Tl 2.96
Ca 0.7500 0.7500 0.7500  6 Tl 3.23


# 10
This record from Alexandria describes a relaxed Tl2CdNiHg crystal. The functional is GGA-PBE.

Summary:
- Formation energy from the elements: 0.12 eV/atom
- Offset from the most stable computed form: 0.058 eV/atom
- Spin magnetization: 0.0 μB/cell
- Symmetry: P4/mmm, No. 123

Cell lengths 5.1262, 5.1262, 5.1550 Å; angles 90.00, 90.00, 90.00 degrees
Closest atoms and distances in Å follow each position.
Positions (direct):
Ni 0.0000 0.0000 0.0000  4 Tl 2.56, 2 Hg 2.58
Tl 0.0000 0.5000 0.0000  2 Ni 2.56
Tl 0.5000 0.0000 0.0000  2 Ni 2.56
Hg 0.0000 0.0000 0.5000  2 Ni 2.58
Cd 0.5000 0.5000 0.5000  4 Hg 3.62, 8 Tl 3.63


# 11
This record from Alexandria describes a relaxed TaPbW crystal. The functional is GGA-PBE.

Summary:
- Formation energy from the elements: 0.76 eV/atom
- Offset from the most stable computed form: 0.183 eV/atom
- Spin magnetization: 0.0 μB/cell
- Symmetry: Imm2, No. 44

Cell lengths 5.2141, 5.2141, 5.2141 Å; angles 147.38, 129.90, 61.07 degrees
Closest atoms and distances in Å follow each position.
Positions (direct):
Pb 0.0009 0.0009 0.0000  2 Pb 2.93, 5 Ta 2.94-3.07, 5 W 2.96-3.06
Ta 0.3283 0.3283 0.0000  2 Ta 2.93, 5 Pb 2.94-3.07, 5 W 3.00-3.08
W 0.6708 0.6708 0.0000  2 W 2.93, 5 Pb 2.96-3.06, 5 Ta 3.00-3.08


# 12
This record from Alexandria describes a relaxed IrS2NCl crystal. The functional is GGA-PBE.

Summary:
- E_form (uncorrected): 2.004 eV/atom
- Offset from the most stable computed form: 1.248 eV/atom
- Spin magnetization: 0.0 μB/cell
- Symmetry: P4/mmm, No. 123

Cell lengths 4.7408, 4.7408, 3.2388 Å; angles 90.00, 90.00, 90.00 degrees
Closest atoms and distances in Å follow each position.
Positions (direct):
N 0.0000 0.0000 0.5000  2 Cl 1.62
S 0.0000 0.5000 0.0000  2 Cl 2.37
S 0.5000 0.0000 0.0000  2 Cl 2.37
Ir 0.5000 0.5000 0.5000  8 S 2.87
Cl 0.0000 0.0000 0.0000  2 N 1.62


Computed values of volume (unit: Å³/atom) for the preceding records, in sequence: 25.62; 20.86; 14.84; 23.68; 19.40; 23.90; 15.25; 12.29; 26.71; 27.09; 19.36; 14.56.